Record 1
A relaxed structure of Pm2Ga3Pt4, computed with GGA-PBE. Values from VASP.

Geometry as Quantum ESPRESSO input:
```
&SYSTEM
  ibrav = 0, nat = 18, ntyp = 3
/
ATOMIC_SPECIES
Pm 145.00 Pm.upf
Ga 69.72 Ga.upf
Pt 195.08 Pt.upf
CELL_PARAMETERS angstrom
2.842 -7.784 0.000
2.842 7.784 0.000
0.000 0.000 7.650
ATOMIC_POSITIONS crystal
Pm 0.108 0.892 0.909
Pm 0.392 0.608 0.409
Pm 0.608 0.392 0.591
Pm 0.892 0.108 0.091
Ga 0.000 0.000 0.500
Ga 0.021 0.479 0.750
Ga 0.479 0.021 0.250
Ga 0.500 0.500 0.000
Ga 0.521 0.979 0.750
Ga 0.979 0.521 0.250
Pt 0.182 0.818 0.524
Pt 0.190 0.310 0.750
Pt 0.310 0.190 0.250
Pt 0.318 0.682 0.024
Pt 0.682 0.318 0.976
Pt 0.690 0.810 0.750
Pt 0.810 0.690 0.250
Pt 0.818 0.182 0.476
```

Properties
Energy of formation   -8.94 eV per formula unit
D(E_F)   9.65 states/eV per cell
Calculated volume   18.80 Å³/atom



Record 2
A relaxed structure of PmGa6Pt12, computed with GGA-PBE. Values from VASP.

Geometry as Quantum ESPRESSO input:
```
&SYSTEM
  ibrav = 0, nat = 19, ntyp = 3
/
ATOMIC_SPECIES
Pm 145.00 Pm.upf
Ga 69.72 Ga.upf
Pt 195.08 Pt.upf
CELL_PARAMETERS angstrom
5.829 3.365 2.787
-5.829 3.365 2.787
0.000 -6.730 2.787
ATOMIC_POSITIONS crystal
Pm 0.000 0.000 0.000
Ga 0.272 0.272 0.700
Ga 0.272 0.700 0.272
Ga 0.300 0.728 0.728
Ga 0.700 0.272 0.272
Ga 0.728 0.300 0.728
Ga 0.728 0.728 0.300
Pt 0.123 0.500 0.877
Pt 0.123 0.877 0.500
Pt 0.150 0.389 0.389
Pt 0.389 0.150 0.389
Pt 0.389 0.389 0.150
Pt 0.500 0.123 0.877
Pt 0.500 0.877 0.123
Pt 0.611 0.611 0.850
Pt 0.611 0.850 0.611
Pt 0.850 0.611 0.611
Pt 0.877 0.123 0.500
Pt 0.877 0.500 0.123
```

Properties
Energy of formation   -10.81 eV per formula unit
D(E_F)   6.40 states/eV per cell
Calculated volume   17.26 Å³/atom



Record 3
A relaxed structure of PmGaPt4, computed with GGA-PBE. Values from VASP.

Geometry as Quantum ESPRESSO input:
```
&SYSTEM
  ibrav = 0, nat = 12, ntyp = 3
/
ATOMIC_SPECIES
Pm 145.00 Pm.upf
Ga 69.72 Ga.upf
Pt 195.08 Pt.upf
CELL_PARAMETERS angstrom
2.168 -9.920 0.000
2.168 9.920 0.000
0.000 0.000 5.571
ATOMIC_POSITIONS crystal
Pm 0.101 0.899 0.750
Pm 0.899 0.101 0.250
Ga 0.398 0.602 0.750
Ga 0.602 0.398 0.250
Pt 0.169 0.831 0.250
Pt 0.294 0.706 0.008
Pt 0.294 0.706 0.492
Pt 0.500 0.500 0.000
Pt 0.500 0.500 0.500
Pt 0.706 0.294 0.508
Pt 0.706 0.294 0.992
Pt 0.831 0.169 0.750
```

Properties
Energy of formation   -4.05 eV per formula unit
D(E_F)   7.47 states/eV per cell
Calculated volume   19.96 Å³/atom



- What is the calculated volume in the third record?
  19.96 Å³/atom